1.
VASP calculation (GGA-PBE) on an optimized crystal structure of TaCoPb3.

Properties
* ΔE to the lowest computed polymorph: 0.0000 eV/atom
* energy of formation from the pure elements: 533 kJ/mol of formula units

abc: 5.0039 5.0039 5.0039
angles: 90.00 90.00 90.00
Last column: nearest neighbours and their distance in Å.
Element x y z (fractional)
Pb 0.5000 0.0000 0.0000  2 Co 2.50
Pb 0.0000 0.5000 0.0000  2 Co 2.50
Pb 0.0000 0.0000 0.5000  2 Co 2.50
Ta 0.5000 0.5000 0.5000  12 Pb 3.54
Co 0.0000 0.0000 0.0000  6 Pb 2.50


2.
VASP calculation (GGA-PBE) on an optimized crystal structure of Rb2Sm2RhO6.

Properties
* E: -6.46 eV/atom

abc: 5.9014 5.9014 6.8929
angles: 97.37 97.37 119.45
Last column: nearest neighbours and their distance in Å.
Element x y z (fractional)
Rb 0.8384 0.1616 0.0000  6 O 2.85-3.16
Rb 0.1616 0.8384 0.0000  6 O 2.85-3.16
Sm 0.6648 0.3352 0.5000  6 O 2.34-2.36
Sm 0.3352 0.6648 0.5000  6 O 2.34-2.36
O 0.6480 0.9537 0.3344  1 Rh 2.11, 2 Sm 2.34-2.36
O 0.0463 0.3520 0.6656  1 Rh 2.11, 2 Sm 2.34-2.36
O 0.3520 0.0463 0.6656  1 Rh 2.11, 2 Sm 2.34-2.36
O 0.2458 0.2458 0.3312  1 Rh 2.09
O 0.9537 0.6480 0.3344  1 Rh 2.11, 2 Sm 2.34-2.36
O 0.7542 0.7542 0.6688  1 Rh 2.09
Rh 0.0000 0.0000 0.5000  6 O 2.09-2.11


3.
VASP calculation (GGA-PBE) on an optimized crystal structure of CsBaRu2O8.

Properties
* E: -6.42 eV/atom

abc: 5.9860 5.9860 9.0006
angles: 70.58 70.58 60.00
Last column: nearest neighbours and their distance in Å.
Element x y z (fractional)
Cs 0.5000 0.5000 0.5000  12 O 3.35-3.47
Ru 0.2472 0.2472 0.2584  4 O 1.76-1.78
Ru 0.7528 0.7528 0.7416  4 O 1.76-1.78
O 0.7152 0.0161 0.8130  1 Ru 1.78
O 0.2848 0.9839 0.1870  1 Ru 1.78
O 0.5443 0.2848 0.1870  1 Ru 1.78
O 0.9839 0.5443 0.1870  1 Ru 1.78
O 0.8233 0.8233 0.5302  1 Ru 1.76
O 0.4557 0.7152 0.8130  1 Ru 1.78
O 0.1767 0.1767 0.4698  1 Ru 1.76
O 0.0161 0.4557 0.8130  1 Ru 1.78
Ba 0.0000 0.0000 0.0000  6 O 2.72


4.
VASP calculation (GGA-PBE) on an optimized crystal structure of BPS2.

Properties
* ΔE to the lowest computed polymorph: 0.0794 eV/atom

abc: 7.3732 7.3732 7.3732
angles: 24.12 24.12 24.12
Last column: nearest neighbours and their distance in Å.
Element x y z (fractional)
B 0.5000 0.5000 0.5000  6 S 2.13
S 0.8879 0.8879 0.8879  3 B 2.13
S 0.1121 0.1121 0.1121  3 B 2.13
P 0.0000 0.0000 0.0000  2 S 2.41